Compound: GeTe3Os
Source: the Alexandria database
Functional: PBE
Structure: optimized geometry

Calculated values
The formation energy (no corrections) is 1.623 eV per atom. The value obtained for the magnetization is 0.004 Bohr magnetons per cell.

Cell lengths 5.173, 5.173, 5.173 Å; angles 90.00, 90.00, 90.00 degrees
Positions (direct):
Ge 0.000 0.000 0.000
Te 0.000 0.500 0.000
Te 0.000 0.000 0.500
Te 0.500 0.000 0.000
Os 0.500 0.500 0.500

---

Compound: La5Ho4Mg2
Source: the Alexandria database
Functional: PBE
Structure: optimized geometry

Calculated values
For the energy of formation, the calculation gives 0.023 eV per atom. The value obtained for the magnetization is 0.000 Bohr magnetons per cell.

Cell lengths 3.699, 9.177, 21.444 Å; angles 90.00, 90.00, 90.00 degrees
Positions (direct):
La 0.000 0.500 0.000
La 0.000 0.000 0.500
La 0.000 0.251 0.218
La 0.000 0.749 0.782
La 0.000 0.751 0.282
La 0.000 0.249 0.718
La 0.000 0.372 0.436
La 0.000 0.628 0.564
La 0.000 0.872 0.064
La 0.000 0.128 0.936
Ho 0.500 0.281 0.577
Ho 0.500 0.719 0.423
Ho 0.500 0.781 0.923
Ho 0.500 0.219 0.077
Ho 0.500 0.431 0.851
Ho 0.500 0.569 0.149
Ho 0.500 0.931 0.649
Ho 0.500 0.069 0.351
Mg 0.500 0.456 0.311
Mg 0.500 0.544 0.689
Mg 0.500 0.956 0.189
Mg 0.500 0.044 0.811

---

Compound: La2NiMo2
Source: the Alexandria database
Functional: PBE
Structure: optimized geometry

Calculated values
For the energy of formation, the calculation gives 1.356 eV per atom. The value obtained for the magnetization is 0.144 Bohr magnetons per cell.

Cell lengths 4.664, 4.664, 6.466 Å; angles 68.86, 68.86, 90.00 degrees
Positions (direct):
Ni 0.000 0.000 0.000
Mo 0.401 0.401 0.199
Mo 0.599 0.599 0.801
La 0.750 0.250 0.500
La 0.250 0.750 0.500

---

Compound: TaHRuW2
Source: the Alexandria database
Functional: PBE
Structure: optimized geometry

Calculated values
The value obtained for the magnetization is 0.000 Bohr magnetons per cell.

Cell lengths 3.970, 3.970, 4.244 Å; angles 90.00, 90.00, 90.00 degrees
Positions (direct):
Ru 0.500 0.500 0.500
H 0.000 0.000 0.000
W 0.000 0.500 0.000
W 0.500 0.000 0.000
Ta 0.000 0.000 0.500

---

Compound: CaLa2Tl
Source: the Alexandria database
Functional: PBE
Structure: optimized geometry

Calculated values
For the energy of formation, the calculation gives -0.148 eV per atom. The value obtained for the magnetization is 0.042 Bohr magnetons per cell.

Cell lengths 6.355, 6.355, 6.355 Å; angles 133.67, 133.67, 67.61 degrees
Positions (direct):
Tl 0.500 0.500 0.000
Ca 0.750 0.250 0.500
La 0.000 0.000 0.000
La 0.250 0.750 0.500

---

no.,ρ (g/cm³),raw total energy (eV per cell)
1,7.7,-17.158
2,6.4,-91.764
3,7.3,-30.520
4,16.2,-49.673
5,6.6,-14.813